one:
First-principles (GGA-PBE) data for crystalline YInSb3 at its relaxed geometry, as listed in the Alexandria database.

a = 5.8030 Å, b = 5.8030 Å, c = 5.8030 Å
α = 90.00°, β = 90.00°, γ = 90.00°
Fractional positions:
Y 0.0000 0.0000 0.0000
Sb 0.0000 0.5000 0.0000
Sb 0.0000 0.0000 0.5000
Sb 0.5000 0.0000 0.0000
In 0.5000 0.5000 0.5000

Computed properties:
As for the density of states at the Fermi level: 0.956 states/eV per atom. Its density is 4.84 g/cm³.

two:
First-principles (GGA-PBE) data for crystalline YInSb3 at its relaxed geometry, as listed in the Alexandria database.

a = 5.5313 Å, b = 5.5313 Å, c = 5.5313 Å
α = 90.00°, β = 90.00°, γ = 90.00°
Fractional positions:
Y 0.5000 0.5000 0.5000
Sb 0.0000 0.5000 0.0000
Sb 0.0000 0.0000 0.5000
Sb 0.5000 0.0000 0.0000
In 0.0000 0.0000 0.0000

Computed properties:
As for the density of states at the Fermi level: 0.996 states/eV per atom. Its density is 5.58 g/cm³.

What are the relative energies? In eV/atom: one 0.000; two 0.201.